No. 1
Density functional theory data (PBE-GGA) for crystalline AcPmW at its relaxed geometry.

Lattice parameters (Å, degrees): 5.080 5.080 5.080 60.00 60.00 60.00
Fractional positions:
Ac: 0.000 0.000 0.000
Pm: 0.500 0.500 0.500
W: 0.750 0.750 0.750

Output
Space group: F-43m, No. 216
E_form (meV/atom): 841
VASP energy (eV/cell): -19.29

***

No. 2
Density functional theory data (PBE-GGA) for crystalline AcPrPt at its relaxed geometry.

Lattice parameters (Å, degrees): 5.028 5.028 5.028 60.00 60.00 60.00
Fractional positions:
Ac: 0.000 0.000 0.000
Pr: 0.250 0.250 0.250
Pt: 0.500 0.500 0.500

Output
Space group: F-43m, No. 216
E_form (meV/atom): -67
VASP energy (eV/cell): -15.14

***

No. 3
Density functional theory data (PBE-GGA) for crystalline AcPrPu at its relaxed geometry.

Lattice parameters (Å, degrees): 5.576 5.576 5.576 60.00 60.00 60.00
Fractional positions:
Ac: 0.000 0.000 0.000
Pr: 0.750 0.750 0.750
Pu: 0.250 0.250 0.250

Output
Space group: F-43m, No. 216
E_form (meV/atom): 875
VASP energy (eV/cell): -20.38
Polymorph energy (0 for the lowest one) (meV/atom): 0

***

No. 4
Density functional theory data (PBE-GGA) for crystalline RbAcPr at its relaxed geometry.

Lattice parameters (Å, degrees): 6.352 6.352 6.352 60.00 60.00 60.00
Fractional positions:
Rb: 0.000 0.000 0.000
Ac: 0.750 0.750 0.750
Pr: 0.500 0.500 0.500

Output
Space group: F-43m, No. 216
VASP energy (eV/cell): -6.55